1.
10
Lattice="3.319 -3.354 0.000 3.319 3.354 0.000 0.000 0.000 9.881" Properties=species:S:1:pos:R:3 comment="CaMg2Cu2 PBE-GGA optimized geometry" e_above_lowest_polymorph_ev_per_atom=0.0920 ef_ev_per_fu=-0.1 dos_at_fermi_per_ev_cell=4.71 pbc="T T T"
Ca 3.319 1.930 7.410
Ca 3.319 -1.930 2.470
Mg 3.319 1.262 0.981
Mg 3.319 1.262 3.959
Mg 3.319 -1.262 5.922
Mg 3.319 -1.262 8.899
Cu 1.234 0.000 0.000
Cu 1.234 0.000 4.940
Cu 5.403 0.000 0.000
Cu 5.403 0.000 4.940

2.
12
Lattice="4.037 0.000 0.000 0.000 13.924 0.000 0.000 0.000 5.592" Properties=species:S:1:pos:R:3 comment="CaMgCu PBE-GGA optimized geometry" ef_ev_per_fu=-0.1 dos_at_fermi_per_ev_cell=6.48 pbc="T T T"
Ca 1.009 1.511 0.740
Ca 1.009 5.451 0.740
Ca 3.028 8.473 4.852
Ca 3.028 12.413 4.852
Mg 1.009 8.975 1.995
Mg 1.009 11.911 1.995
Mg 3.028 2.013 3.597
Mg 3.028 4.949 3.597
Cu 1.009 0.252 3.483
Cu 1.009 6.710 3.483
Cu 3.028 7.213 2.109
Cu 3.028 13.672 2.109

3.
5
Lattice="-1.764 1.764 9.819 1.764 -1.764 9.819 1.764 1.764 -9.819" Properties=species:S:1:pos:R:3 comment="Ca2MgCu2 PBE-GGA optimized geometry" ef_ev_per_fu=0.1 dos_at_fermi_per_ev_cell=3.31 pbc="T T T"
Ca 0.000 0.000 2.471
Ca 0.000 0.000 17.167
Mg 0.000 0.000 9.819
Cu 1.764 0.000 4.910
Cu 0.000 1.764 4.910